A plane-wave DFT calculation with PBE was carried out for BaCuSe2S4 after structural relaxation.

Unit cell a=6.2751 b=6.2751 c=6.2751 alpha=115.01 beta=115.01 gamma=98.88
Fractional coordinates of all 8 atoms:
1 Ba 0.0000 0.0000 0.0000
2 Cu 0.5000 0.5000 0.0000
3 Se 0.2500 0.7500 0.5000
4 Se 0.7500 0.2500 0.5000
5 S 0.1392 0.1392 0.6052
6 S 0.4661 0.8608 0.0000
7 S 0.5339 0.5339 0.3948
8 S 0.8608 0.4661 0.0000

Symmetry   I-42m, No. 121
Raw formation energy   -360 kJ/mol of formula units
Final energy   -33.23 eV for the cell shown